An optimized crystal structure of PW, computed with PBE-GGA.

Cell: 6.6176 6.6176 6.6176 Å, 90.00 90.00 90.00°
Last column: nearest neighbours and their distance in Å.
Sites, in units of the cell vectors:
P: 0.0000 0.2500 0.5000  4 W 2.34
P: 0.0000 0.7500 0.5000  4 W 2.34
P: 0.2500 0.5000 0.0000  4 W 2.34
P: 0.5000 0.0000 0.2500  4 W 2.34
P: 0.5000 0.0000 0.7500  4 W 2.34
P: 0.7500 0.5000 0.0000  4 W 2.34
W: 0.0000 0.5000 0.2500  4 P 2.34
W: 0.0000 0.5000 0.7500  4 P 2.34
W: 0.2500 0.0000 0.5000  4 P 2.34
W: 0.5000 0.2500 0.0000  4 P 2.34
W: 0.5000 0.7500 0.0000  4 P 2.34
W: 0.7500 0.0000 0.5000  4 P 2.34

## Properties
Calculated formation energy, eV/atom: 0.613
ρ, Mg/m³: 7.39
VASP energy, eV/atom: -8.568


An optimized crystal structure of PuCuH3, computed with PBE-GGA.

Cell: 3.6263 3.6263 3.6263 Å, 90.00 90.00 90.00°
Last column: nearest neighbours and their distance in Å.
Sites, in units of the cell vectors:
Pu: 0.0000 0.0000 0.0000  12 H 2.56
Cu: 0.5000 0.5000 0.5000  6 H 1.81
H: 0.0000 0.5000 0.5000  2 Cu 1.81
H: 0.5000 0.0000 0.5000  2 Cu 1.81
H: 0.5000 0.5000 0.0000  2 Cu 1.81

## Properties
ρ, Mg/m³: 10.81
VASP energy, eV/atom: -5.895


An optimized crystal structure of Er3NpO8, computed with PBE-GGA.

Cell: 5.2829 5.2829 5.2829 Å, 90.00 90.00 90.00°
Last column: nearest neighbours and their distance in Å.
Sites, in units of the cell vectors:
Er: 0.0000 0.0000 0.5000  8 O 2.32
Er: 0.0000 0.5000 0.0000  8 O 2.32
Er: 0.5000 0.0000 0.0000  8 O 2.32
Np: 0.5000 0.5000 0.5000  8 O 2.19
O: 0.2607 0.2607 0.2607  1 Np 2.19, 3 Er 2.32
O: 0.2607 0.2607 0.7393  1 Np 2.19, 3 Er 2.32
O: 0.2607 0.7393 0.2607  1 Np 2.19, 3 Er 2.32
O: 0.2607 0.7393 0.7393  1 Np 2.19, 3 Er 2.32
O: 0.7393 0.2607 0.2607  1 Np 2.19, 3 Er 2.32
O: 0.7393 0.2607 0.7393  1 Np 2.19, 3 Er 2.32
O: 0.7393 0.7393 0.2607  1 Np 2.19, 3 Er 2.32
O: 0.7393 0.7393 0.7393  1 Np 2.19, 3 Er 2.32

## Properties
Uncorrected formation energy, eV per atom: -3.23
ρ, Mg/m³: 9.76
VASP energy, eV/atom: -8.756


An optimized crystal structure of Pr2AgC2, computed with PBE-GGA.

Cell: 7.6916 7.6916 7.0599 Å, 103.25 103.25 32.06°
Last column: nearest neighbours and their distance in Å.
Sites, in units of the cell vectors:
Pr: 0.0196 0.6813 0.8680  4 C 2.47-2.73
Pr: 0.3187 0.9804 0.6320  4 C 2.47-2.73
Pr: 0.6813 0.0196 0.3680  4 C 2.47-2.73
Pr: 0.9804 0.3187 0.1320  4 C 2.47-2.73
Ag: 0.3762 0.6238 0.2500  6 Pr 3.18-3.44
Ag: 0.6238 0.3762 0.7500  6 Pr 3.18-3.44
C: 0.1434 0.4045 0.4741  1 C 1.34
C: 0.4045 0.1434 0.9741  1 C 1.34
C: 0.5955 0.8566 0.0259  1 C 1.34
C: 0.8566 0.5955 0.5259  1 C 1.34

## Properties
Calculated formation energy, eV/atom: -0.174
ρ, Mg/m³: 6.38
VASP energy, eV/atom: -6.346


An optimized crystal structure of Li2MgCrN4, computed with PBE-GGA.

Cell: 6.7859 6.0431 4.4198 Å, 90.00 90.00 90.00°
Last column: nearest neighbours and their distance in Å.
Sites, in units of the cell vectors:
Li: 0.2375 0.1526 0.0000  4 N 2.04-2.18
Li: 0.2625 0.8474 0.5000  4 N 2.04-2.18
Li: 0.7375 0.8474 0.5000  4 N 2.04-2.18
Li: 0.7625 0.1526 0.0000  4 N 2.04-2.18
Mg: 0.0000 0.3388 0.5100  5 N 2.10-2.27
Mg: 0.5000 0.6612 0.0100  5 N 2.10-2.27
Cr: 0.0000 0.6748 0.0749  4 N 1.68-1.78
Cr: 0.5000 0.3252 0.5749  4 N 1.68-1.78
N: 0.0000 0.3856 0.9996  1 Cr 1.78
N: 0.0000 0.6851 0.4559  1 Cr 1.68
N: 0.2211 0.8114 0.9856  1 Cr 1.76
N: 0.2789 0.1886 0.4856  1 Cr 1.76
N: 0.5000 0.3149 0.9559  1 Cr 1.68
N: 0.5000 0.6144 0.4996  1 Cr 1.78
N: 0.7211 0.1886 0.4856  1 Cr 1.76
N: 0.7789 0.8114 0.9856  1 Cr 1.76

## Properties
Uncorrected formation energy, eV per atom: -0.22
ρ, Mg/m³: 2.68
VASP energy, eV/atom: -6.259


An optimized crystal structure of YZnSbTe2, computed with PBE-GGA.

Cell: 5.8264 5.8264 5.9428 Å, 90.00 90.00 90.00°
Last column: nearest neighbours and their distance in Å.
Sites, in units of the cell vectors:
Y: 0.0000 0.0000 0.0000  4 Te 2.91, 2 Sb 2.97
Zn: 0.5000 0.5000 0.5000  4 Sb 4.12, 8 Te 4.16
Sb: 0.0000 0.0000 0.5000  2 Y 2.97
Te: 0.0000 0.5000 0.0000  2 Y 2.91
Te: 0.5000 0.0000 0.0000  2 Y 2.91

## Properties
Uncorrected formation energy, eV per atom: 0.12
Energy relative to the lowest polymorph listed for this composition, meV per atom: 161
ρ, Mg/m³: 4.37
VASP energy, eV/atom: -3.506